A plane-wave DFT calculation with PBE was carried out for an optimized crystal structure of K2CaSb2.

abc: 8.509 8.509 8.509
angles: 147.32 147.32 46.89
Positions (direct):
K1 0.250 0.750 0.500
K2 0.750 0.250 0.500
Ca1 0.000 0.000 0.000
Sb1 0.409 0.409 0.000
Sb2 0.591 0.591 0.000

Values from the calculation:
* density of states at the Fermi level: 2.2 states/eV/cell
* final energy: -0.207 Ry per atom